Density functional theory data (PBE-GGA) for a relaxed structure of Sc3CdFe.

The energy relative to the lowest polymorph listed for this composition comes out at 496 kJ/mol of formula units. For the raw total energy, the calculation gives -4.666 eV per atom. Its crystal system is cubic.

abc: 5.2294 5.2294 5.2294
angles: 90.00 90.00 90.00
Positions (direct):
Sc (0.0000, 0.0000, 0.5000)
Sc (0.0000, 0.5000, 0.0000)
Sc (0.5000, 0.0000, 0.0000)
Cd (0.0000, 0.0000, 0.0000)
Fe (0.5000, 0.5000, 0.5000)

---

Density functional theory data (PBE-GGA) for a relaxed structure of V3In2Cl8.

The formation energy (no corrections) comes out at -1.0226 eV/atom. For the raw total energy, the calculation gives -4.685 eV per atom. Its crystal system is monoclinic.

abc: 8.6306 8.6306 6.4591
angles: 105.45 105.45 51.43
Positions (direct):
V (0.0000, 0.0000, 0.0000)
V (0.2519, 0.7481, 0.5000)
V (0.7481, 0.2519, 0.5000)
In (0.2829, 0.2829, 0.8419)
In (0.7171, 0.7171, 0.1581)
Cl (0.0888, 0.0888, 0.3949)
Cl (0.1387, 0.6794, 0.1139)
Cl (0.3206, 0.8613, 0.8861)
Cl (0.4037, 0.4037, 0.5566)
Cl (0.5963, 0.5963, 0.4434)
Cl (0.6794, 0.1387, 0.1139)
Cl (0.8613, 0.3206, 0.8861)
Cl (0.9112, 0.9112, 0.6051)

---

Density functional theory data (PBE-GGA) for a relaxed structure of KCdSb3.

The formation energy (no corrections) comes out at 0.2941 eV/atom. The energy relative to the lowest polymorph listed for this composition comes out at 0 kJ/mol of formula units. For the raw total energy, the calculation gives -2.582 eV per atom. Its crystal system is cubic.

abc: 5.6714 5.6714 5.6714
angles: 90.00 90.00 90.00
Positions (direct):
K (0.0000, 0.0000, 0.0000)
Cd (0.5000, 0.5000, 0.5000)
Sb (0.0000, 0.5000, 0.5000)
Sb (0.5000, 0.0000, 0.5000)
Sb (0.5000, 0.5000, 0.0000)

---

Density functional theory data (PBE-GGA) for a relaxed structure of Y3BeGe2.

For the raw total energy, the calculation gives -6.101 eV per atom. Its crystal system is orthorhombic.

abc: 11.3235 4.0694 11.5670
angles: 90.00 90.00 90.00
Positions (direct):
Y (0.0638, 0.2500, 0.1221)
Y (0.1217, 0.7500, 0.5591)
Y (0.2048, 0.2500, 0.7976)
Y (0.2952, 0.7500, 0.2976)
Y (0.3783, 0.2500, 0.0591)
Y (0.4362, 0.7500, 0.6221)
Y (0.5638, 0.2500, 0.3779)
Y (0.6217, 0.7500, 0.9409)
Y (0.7048, 0.2500, 0.7024)
Y (0.7952, 0.7500, 0.2024)
Y (0.8783, 0.2500, 0.4409)
Y (0.9362, 0.7500, 0.8779)
Be (0.1354, 0.2500, 0.3633)
Be (0.3646, 0.7500, 0.8633)
Be (0.6354, 0.2500, 0.1367)
Be (0.8646, 0.7500, 0.6367)
Ge (0.0310, 0.7500, 0.3183)
Ge (0.1930, 0.7500, 0.9869)
Ge (0.3070, 0.2500, 0.4869)
Ge (0.4690, 0.2500, 0.8183)
Ge (0.5310, 0.7500, 0.1817)
Ge (0.6930, 0.7500, 0.5131)
Ge (0.8070, 0.2500, 0.0131)
Ge (0.9690, 0.2500, 0.6817)

---

Density functional theory data (PBE-GGA) for a relaxed structure of HfCr2Bi2.

The energy relative to the lowest polymorph listed for this composition comes out at 52 kJ/mol of formula units. For the raw total energy, the calculation gives -6.792 eV per atom. Its crystal system is tetragonal.

abc: 5.4767 5.4767 5.4767
angles: 125.64 125.64 80.49
Positions (direct):
Hf (0.0000, 0.0000, 0.0000)
Cr (0.3874, 0.3874, 0.0000)
Cr (0.6126, 0.6126, 0.0000)
Bi (0.2500, 0.7500, 0.5000)
Bi (0.7500, 0.2500, 0.5000)

---

Density functional theory data (PBE-GGA) for a relaxed structure of Zr5Co2Hg2.

For the raw total energy, the calculation gives -6.612 eV per atom. Its crystal system is orthorhombic.

abc: 8.3390 8.3390 6.5572
angles: 90.00 90.00 54.27
Positions (direct):
Zr (0.0000, 0.0000, 0.0000)
Zr (0.0679, 0.7056, 0.6566)
Zr (0.2056, 0.5679, 0.1566)
Zr (0.2944, 0.9321, 0.6566)
Zr (0.4321, 0.7944, 0.1566)
Zr (0.5000, 0.5000, 0.5000)
Zr (0.5679, 0.2056, 0.8434)
Zr (0.7056, 0.0679, 0.3434)
Zr (0.7944, 0.4321, 0.8434)
Zr (0.9321, 0.2944, 0.3434)
Co (0.1174, 0.8826, 0.3663)
Co (0.3826, 0.6174, 0.8663)
Co (0.6174, 0.3826, 0.1337)
Co (0.8826, 0.1174, 0.6337)
Hg (0.2179, 0.2179, 0.0000)
Hg (0.2821, 0.2821, 0.5000)
Hg (0.7179, 0.7179, 0.5000)
Hg (0.7821, 0.7821, 0.0000)

---

Density functional theory data (PBE-GGA) for a relaxed structure of TcSbBr2.

The formation energy (no corrections) comes out at 0.3044 eV/atom. The energy relative to the lowest polymorph listed for this composition comes out at 114 kJ/mol of formula units. For the raw total energy, the calculation gives -4.154 eV per atom. Its crystal system is orthorhombic.

abc: 7.1161 7.1161 7.1161
angles: 153.98 138.75 49.42
Positions (direct):
Tc (0.0000, 0.0000, 0.0000)
Sb (0.8328, 0.3328, 0.5000)
Br (0.1641, 0.6641, 0.5000)
Br (0.4829, 0.4829, 0.0000)

---

Density functional theory data (PBE-GGA) for a relaxed structure of Ag3Mo.

The energy relative to the lowest polymorph listed for this composition comes out at 66 kJ/mol of formula units. For the raw total energy, the calculation gives -4.378 eV per atom. Its crystal system is orthorhombic.

abc: 2.7285 4.2328 5.9734
angles: 90.00 90.00 90.00
Positions (direct):
Ag (0.0000, 0.0000, 0.0000)
Ag (0.5000, 0.5000, 0.2583)
Ag (0.5000, 0.5000, 0.7417)
Mo (0.0000, 0.0000, 0.5000)

---

Density functional theory data (PBE-GGA) for a relaxed structure of RbCeP2Se8.

The formation energy (no corrections) comes out at -0.5151 eV/atom. For the raw total energy, the calculation gives -4.315 eV per atom. Its crystal system is trigonal.

abc: 10.7122 10.7122 10.7122
angles: 35.24 35.24 35.24
Positions (direct):
Rb (0.0000, 0.0000, 0.0000)
Ce (0.5000, 0.5000, 0.5000)
P (0.2457, 0.2457, 0.2457)
P (0.7543, 0.7543, 0.7543)
Se (0.0854, 0.8174, 0.4271)
Se (0.1826, 0.5729, 0.9146)
Se (0.3180, 0.3180, 0.3180)
Se (0.4271, 0.0854, 0.8174)
Se (0.5729, 0.9146, 0.1826)
Se (0.6820, 0.6820, 0.6820)
Se (0.8174, 0.4271, 0.0854)
Se (0.9146, 0.1826, 0.5729)

---

Density functional theory data (PBE-GGA) for a relaxed structure of CaNdEuGd.

For the raw total energy, the calculation gives -7.654 eV per atom. Its crystal system is cubic.

abc: 5.9418 5.9418 5.9418
angles: 60.00 60.00 60.00
Positions (direct):
Ca (0.0000, 0.0000, 0.0000)
Nd (0.7500, 0.7500, 0.7500)
Eu (0.2500, 0.2500, 0.2500)
Gd (0.5000, 0.5000, 0.5000)

---

Density functional theory data (PBE-GGA) for a relaxed structure of Pm3DyPb2C.

For the raw total energy, the calculation gives -5.587 eV per atom. Its crystal system is orthorhombic.

abc: 8.9854 8.9854 8.9854
angles: 148.54 147.84 45.60
Positions (direct):
Pm (0.0000, 0.0000, 0.0000)
Pm (0.3408, 0.8408, 0.5000)
Pm (0.6592, 0.1592, 0.5000)
Dy (0.5000, 0.5000, 0.0000)
Pb (0.1402, 0.6402, 0.5000)
Pb (0.8598, 0.3598, 0.5000)
C (0.5000, 0.0000, 0.5000)

---

Density functional theory data (PBE-GGA) for a relaxed structure of CaFe2Tc.

The energy relative to the lowest polymorph listed for this composition comes out at 164 kJ/mol of formula units. For the raw total energy, the calculation gives -6.535 eV per atom. Its crystal system is orthorhombic.

abc: 3.1356 4.4635 4.5511
angles: 90.00 90.00 90.00
Positions (direct):
Ca (0.0000, 0.0000, 0.0000)
Fe (0.0000, 0.5000, 0.5000)
Fe (0.5000, 0.5000, 0.0000)
Tc (0.5000, 0.0000, 0.5000)

---

What is the raw total energy in the eleventh record? -5.587 eV per atom

---

Please write out number 8 again, unchanged.
Density functional theory data (PBE-GGA) for a relaxed structure of Ag3Mo.

The energy relative to the lowest polymorph listed for this composition comes out at 66 kJ/mol of formula units. For the raw total energy, the calculation gives -4.378 eV per atom. Its crystal system is orthorhombic.

abc: 2.7285 4.2328 5.9734
angles: 90.00 90.00 90.00
Positions (direct):
Ag (0.0000, 0.0000, 0.0000)
Ag (0.5000, 0.5000, 0.2583)
Ag (0.5000, 0.5000, 0.7417)
Mo (0.0000, 0.0000, 0.5000)

---

Among the records above, which one has the lowest raw total energy? CaNdEuGd